A geometry-optimized Ce5Ga structure. Source: Alexandria via LeMat-Bulk, functional PBE.

Cell: 5.4925 5.5857 5.6573 Å, 119.58 90.00 90.00°
With the nearest neighbours (Å) after each atom.
Positions (direct):
Ga 0.0000 0.5000 0.0000  8 Ce 3.12-3.22
Ce 0.0000 0.8588 0.7177  3 Ce 2.78-3.08
Ce 0.0000 0.1412 0.2823  3 Ce 2.78-3.08
Ce 0.5000 0.3295 0.6590  8 Ce 3.20-3.36, 2 Ga 3.22
Ce 0.5000 0.0000 0.0000  10 Ce 3.08-3.26
Ce 0.5000 0.6705 0.3410  8 Ce 3.20-3.36, 2 Ga 3.22

Calculated volume, Å³/cell: 150.9
Energy above the most stable polymorph in this dataset, meV per atom: 43
Final energy, eV/atom: -5.5430
Space-group type: No. 65
D(E_F), states/eV per atom: 2.930
Calculated formation energy, eV per atom: -0.094